# Si2OsRu (GGA-PBE, optimized geometry)
data_Si2OsRu
_space_group_name_H-M_alt 'I m m m'
_space_group_IT_number 71
_space_group_name_Hall '-I 2 2'
_cell_length_a 2.900
_cell_length_b 4.962
_cell_length_c 7.742
_cell_angle_alpha 90.00
_cell_angle_beta 90.00
_cell_angle_gamma 90.00
loop_
_atom_site_label
_atom_site_type_symbol
_atom_site_fract_x
_atom_site_fract_y
_atom_site_fract_z
_atom_site_occupancy
Si1 Si 0.000 0.000 0.248 1
Os1 Os 0.000 0.500 0.000 1
Ru1 Ru 0.000 0.500 0.500 1
# **DOS(E_F)**: 5.28 states/eV/cell
# **Raw formation energy**: -0.043 eV/atom
# **V**: 111.4 Å³ per cell
# **Size of the total moment**: 0.00 μB per formula unit